(1)
The following is a PBE calculation of Y2Er9Th after structural relaxation, from the Alexandria database.

Geometry as CIF:
```
data_Y2Er9Th
_symmetry_space_group_name_H-M 'P 1'
_symmetry_Int_Tables_number 1
_cell_length_a 4.991
_cell_length_b 4.991
_cell_length_c 14.933
_cell_angle_alpha 90.00
_cell_angle_beta 90.00
_cell_angle_gamma 90.00
loop_
_symmetry_equiv_pos_as_xyz
'x,y,z'
loop_
_atom_site_label
_atom_site_fract_x
_atom_site_fract_y
_atom_site_fract_z
Y1 0.000 0.000 0.333
Er1 0.500 0.000 0.835
Er2 0.500 0.500 0.335
Er3 0.000 0.500 0.500
Er4 0.000 0.500 0.835
Er5 0.500 0.500 0.665
Er6 0.500 0.000 0.500
Er7 0.000 0.500 0.165
Er8 0.500 0.000 0.165
Er9 0.500 0.500 0.000
Th1 0.000 0.000 0.000
Y2 0.000 0.000 0.667
```

Energy, eV per atom: -5.09
M_tot, μB/cell: 0.00

---

(2)
The following is a PBE calculation of Dy4BBr5 after structural relaxation, from the Alexandria database.

Geometry as CIF:
```
data_Dy4BBr5
_symmetry_space_group_name_H-M 'P 1'
_symmetry_Int_Tables_number 1
_cell_length_a 3.913
_cell_length_b 8.124
_cell_length_c 10.108
_cell_angle_alpha 89.74
_cell_angle_beta 101.16
_cell_angle_gamma 90.00
loop_
_symmetry_equiv_pos_as_xyz
'x,y,z'
loop_
_atom_site_label
_atom_site_fract_x
_atom_site_fract_y
_atom_site_fract_z
Br1 0.850 0.252 0.699
Br2 0.849 0.752 0.698
Dy1 0.000 0.210 0.000
Dy2 0.000 0.790 0.000
Br3 0.150 0.748 0.301
B1 0.500 0.000 0.000
Br4 0.500 0.500 0.000
Dy3 0.376 0.002 0.753
Dy4 0.624 0.998 0.247
Br5 0.151 0.248 0.302
```

Energy, eV per atom: -4.72
ΔE to the lowest computed polymorph, meV/atom: 25
M_tot, μB/cell: 0.00

---

(3)
The following is a PBE calculation of CaHg3Br after structural relaxation, from the Alexandria database.

Geometry as CIF:
```
data_CaHg3Br
_symmetry_space_group_name_H-M 'P 1'
_symmetry_Int_Tables_number 1
_cell_length_a 5.944
_cell_length_b 5.944
_cell_length_c 5.944
_cell_angle_alpha 90.00
_cell_angle_beta 90.00
_cell_angle_gamma 90.00
loop_
_symmetry_equiv_pos_as_xyz
'x,y,z'
loop_
_atom_site_label
_atom_site_fract_x
_atom_site_fract_y
_atom_site_fract_z
Br1 0.000 0.000 0.000
Hg1 0.500 0.000 0.000
Hg2 0.000 0.000 0.500
Ca1 0.500 0.500 0.500
Hg3 0.000 0.500 0.000
```

Energy, eV per atom: -0.75
ΔE to the lowest computed polymorph, meV/atom: 291
M_tot, μB/cell: 0.00

---

(4)
The following is a PBE calculation of CePr2Se after structural relaxation, from the Alexandria database.

Geometry as CIF:
```
data_CePr2Se
_symmetry_space_group_name_H-M 'P 1'
_symmetry_Int_Tables_number 1
_cell_length_a 3.880
_cell_length_b 3.880
_cell_length_c 9.957
_cell_angle_alpha 78.77
_cell_angle_beta 78.77
_cell_angle_gamma 60.00
loop_
_symmetry_equiv_pos_as_xyz
'x,y,z'
loop_
_atom_site_label
_atom_site_fract_x
_atom_site_fract_y
_atom_site_fract_z
Ce1 0.500 0.500 0.500
Pr1 0.265 0.265 0.205
Pr2 0.735 0.735 0.795
Se1 0.000 0.000 0.000
```

Energy, eV per atom: -5.45
M_tot, μB/cell: 0.80

---

(5)
The following is a PBE calculation of BaTlRe after structural relaxation, from the Alexandria database.

Geometry as CIF:
```
data_BaTlRe
_symmetry_space_group_name_H-M 'P 1'
_symmetry_Int_Tables_number 1
_cell_length_a 6.520
_cell_length_b 6.520
_cell_length_c 6.520
_cell_angle_alpha 146.64
_cell_angle_beta 146.55
_cell_angle_gamma 47.96
loop_
_symmetry_equiv_pos_as_xyz
'x,y,z'
loop_
_atom_site_label
_atom_site_fract_x
_atom_site_fract_y
_atom_site_fract_z
Re1 0.288 0.288 0.000
Ba1 0.995 0.995 0.000
Tl1 0.717 0.717 0.000
```

Energy, eV per atom: -4.67
ΔE to the lowest computed polymorph, meV/atom: 0
M_tot, μB/cell: 0.00

---

(6)
The following is a PBE calculation of Ac2TlSb3Rh6 after structural relaxation, from the Alexandria database.

Geometry as CIF:
```
data_Ac2TlSb3Rh6
_symmetry_space_group_name_H-M 'P 1'
_symmetry_Int_Tables_number 1
_cell_length_a 4.219
_cell_length_b 4.219
_cell_length_c 16.618
_cell_angle_alpha 90.00
_cell_angle_beta 90.00
_cell_angle_gamma 90.00
loop_
_symmetry_equiv_pos_as_xyz
'x,y,z'
loop_
_atom_site_label
_atom_site_fract_x
_atom_site_fract_y
_atom_site_fract_z
Rh1 0.000 0.000 0.152
Sb1 0.000 0.000 0.693
Rh2 0.000 0.000 0.848
Sb2 0.000 0.000 0.307
Tl1 0.500 0.500 0.500
Rh3 0.500 0.000 0.607
Rh4 0.500 0.000 0.393
Ac1 0.500 0.500 0.826
Ac2 0.500 0.500 0.174
Rh5 0.000 0.500 0.393
Rh6 0.000 0.500 0.607
Sb3 0.000 0.000 0.000
```

Energy, eV per atom: -5.97
M_tot, μB/cell: 0.00

---

(7)
The following is a PBE calculation of LiSm2Te3 after structural relaxation, from the Alexandria database.

Geometry as CIF:
```
data_LiSm2Te3
_symmetry_space_group_name_H-M 'P 1'
_symmetry_Int_Tables_number 1
_cell_length_a 4.371
_cell_length_b 6.262
_cell_length_c 7.620
_cell_angle_alpha 114.26
_cell_angle_beta 106.67
_cell_angle_gamma 90.00
loop_
_symmetry_equiv_pos_as_xyz
'x,y,z'
loop_
_atom_site_label
_atom_site_fract_x
_atom_site_fract_y
_atom_site_fract_z
Te1 0.000 0.000 0.000
Li1 0.000 0.500 0.000
Sm1 0.331 0.831 0.662
Te2 0.343 0.343 0.686
Sm2 0.669 0.169 0.338
Te3 0.657 0.657 0.314
```

Energy, eV per atom: -4.80
M_tot, μB/cell: 0.00

---

(8)
The following is a PBE calculation of Ac2InGa3Ag4 after structural relaxation, from the Alexandria database.

Geometry as CIF:
```
data_Ac2InGa3Ag4
_symmetry_space_group_name_H-M 'P 1'
_symmetry_Int_Tables_number 1
_cell_length_a 4.596
_cell_length_b 4.596
_cell_length_c 11.116
_cell_angle_alpha 90.00
_cell_angle_beta 90.00
_cell_angle_gamma 90.00
loop_
_symmetry_equiv_pos_as_xyz
'x,y,z'
loop_
_atom_site_label
_atom_site_fract_x
_atom_site_fract_y
_atom_site_fract_z
Ag1 0.500 0.000 0.642
Ga1 0.000 0.500 0.125
Ag2 0.500 0.500 0.000
Ag3 0.000 0.000 0.000
In1 0.500 0.500 0.500
Ga2 0.500 0.000 0.875
Ga3 0.000 0.000 0.500
Ag4 0.000 0.500 0.358
Ac1 0.500 0.000 0.239
Ac2 0.000 0.500 0.761
```

Energy, eV per atom: -3.50
M_tot, μB/cell: 0.00

---

(9)
The following is a PBE calculation of Pm2NdTe after structural relaxation, from the Alexandria database.

Geometry as CIF:
```
data_Pm2NdTe
_symmetry_space_group_name_H-M 'P 1'
_symmetry_Int_Tables_number 1
_cell_length_a 4.011
_cell_length_b 4.011
_cell_length_c 10.221
_cell_angle_alpha 78.68
_cell_angle_beta 78.68
_cell_angle_gamma 60.00
loop_
_symmetry_equiv_pos_as_xyz
'x,y,z'
loop_
_atom_site_label
_atom_site_fract_x
_atom_site_fract_y
_atom_site_fract_z
Te1 0.667 0.667 0.000
Nd1 0.500 0.500 0.501
Pm1 0.263 0.263 0.212
Pm2 0.071 0.071 0.787
```

Energy, eV per atom: -4.92
ΔE to the lowest computed polymorph, meV/atom: 125
M_tot, μB/cell: 0.26

---

(10)
The following is a PBE calculation of TiBeTc3 after structural relaxation, from the Alexandria database.

Geometry as CIF:
```
data_TiBeTc3
_symmetry_space_group_name_H-M 'P 1'
_symmetry_Int_Tables_number 1
_cell_length_a 4.492
_cell_length_b 4.492
_cell_length_c 4.492
_cell_angle_alpha 90.00
_cell_angle_beta 90.00
_cell_angle_gamma 90.00
loop_
_symmetry_equiv_pos_as_xyz
'x,y,z'
loop_
_atom_site_label
_atom_site_fract_x
_atom_site_fract_y
_atom_site_fract_z
Be1 0.500 0.500 0.500
Tc1 0.000 0.000 0.500
Ti1 0.000 0.000 0.000
Tc2 0.000 0.500 0.000
Tc3 0.500 0.000 0.000
```

Energy, eV per atom: -6.93
ΔE to the lowest computed polymorph, meV/atom: 1230
M_tot, μB/cell: 1.37

---

(11)
The following is a PBE calculation of CuSi2Te after structural relaxation, from the Alexandria database.

Geometry as CIF:
```
data_CuSi2Te
_symmetry_space_group_name_H-M 'P 1'
_symmetry_Int_Tables_number 1
_cell_length_a 4.595
_cell_length_b 3.984
_cell_length_c 3.984
_cell_angle_alpha 81.15
_cell_angle_beta 90.00
_cell_angle_gamma 90.00
loop_
_symmetry_equiv_pos_as_xyz
'x,y,z'
loop_
_atom_site_label
_atom_site_fract_x
_atom_site_fract_y
_atom_site_fract_z
Te1 0.500 0.250 0.250
Si1 0.000 0.952 0.953
Cu1 0.500 0.750 0.750
Si2 0.000 0.548 0.547
```

Energy, eV per atom: -4.27
M_tot, μB/cell: 0.00

---

(12)
The following is a PBE calculation of Ba2PPb after structural relaxation, from the Alexandria database.

Geometry as CIF:
```
data_Ba2PPb
_symmetry_space_group_name_H-M 'P 1'
_symmetry_Int_Tables_number 1
_cell_length_a 9.227
_cell_length_b 9.227
_cell_length_c 7.453
_cell_angle_alpha 51.76
_cell_angle_beta 51.76
_cell_angle_gamma 90.00
loop_
_symmetry_equiv_pos_as_xyz
'x,y,z'
loop_
_atom_site_label
_atom_site_fract_x
_atom_site_fract_y
_atom_site_fract_z
Pb1 0.000 0.000 0.000
Ba1 0.375 0.427 0.750
Ba2 0.573 0.125 0.250
Ba3 0.875 0.823 0.750
Ba4 0.177 0.625 0.250
P1 0.250 0.750 0.500
P2 0.500 0.500 0.000
Pb2 0.750 0.250 0.500
```

Energy, eV per atom: -3.67
ΔE to the lowest computed polymorph, meV/atom: 195
M_tot, μB/cell: 0.00

---

(13)
The following is a PBE calculation of Ti8NiBi2 after structural relaxation, from the Alexandria database.

Geometry as CIF:
```
data_Ti8NiBi2
_symmetry_space_group_name_H-M 'P 1'
_symmetry_Int_Tables_number 1
_cell_length_a 4.727
_cell_length_b 5.427
_cell_length_c 8.011
_cell_angle_alpha 91.80
_cell_angle_beta 107.16
_cell_angle_gamma 90.00
loop_
_symmetry_equiv_pos_as_xyz
'x,y,z'
loop_
_atom_site_label
_atom_site_fract_x
_atom_site_fract_y
_atom_site_fract_z
Ti1 0.653 0.128 0.306
Bi1 0.154 0.815 0.308
Ni1 0.500 0.000 0.000
Ti2 0.581 0.575 0.161
Ti3 0.768 0.657 0.536
Ti4 0.043 0.273 0.086
Ti5 0.957 0.727 0.914
Ti6 0.232 0.343 0.464
Ti7 0.419 0.425 0.839
Ti8 0.347 0.872 0.694
Bi2 0.846 0.185 0.692
```

Energy, eV per atom: -7.08
M_tot, μB/cell: 0.00

---

(14)
The following is a PBE calculation of SmYZnTc after structural relaxation, from the Alexandria database.

Geometry as CIF:
```
data_SmYZnTc
_symmetry_space_group_name_H-M 'P 1'
_symmetry_Int_Tables_number 1
_cell_length_a 4.984
_cell_length_b 4.984
_cell_length_c 4.984
_cell_angle_alpha 60.00
_cell_angle_beta 60.00
_cell_angle_gamma 60.00
loop_
_symmetry_equiv_pos_as_xyz
'x,y,z'
loop_
_atom_site_label
_atom_site_fract_x
_atom_site_fract_y
_atom_site_fract_z
Sm1 0.250 0.250 0.250
Zn1 0.500 0.500 0.500
Tc1 0.000 0.000 0.000
Y1 0.750 0.750 0.750
```

Energy, eV per atom: -5.80
M_tot, μB/cell: 0.00

---

(15)
The following is a PBE calculation of AsPd2Pt after structural relaxation, from the Alexandria database.

Geometry as CIF:
```
data_AsPd2Pt
_symmetry_space_group_name_H-M 'P 1'
_symmetry_Int_Tables_number 1
_cell_length_a 3.010
_cell_length_b 3.010
_cell_length_c 6.957
_cell_angle_alpha 90.00
_cell_angle_beta 90.00
_cell_angle_gamma 90.00
loop_
_symmetry_equiv_pos_as_xyz
'x,y,z'
loop_
_atom_site_label
_atom_site_fract_x
_atom_site_fract_y
_atom_site_fract_z
Pd1 0.000 0.000 0.233
As1 0.500 0.500 0.000
Pd2 0.000 0.000 0.767
Pt1 0.500 0.500 0.500
```

Energy, eV per atom: -5.41
M_tot, μB/cell: 0.00

---

(16)
The following is a PBE calculation of Cd5GaAg6 after structural relaxation, from the Alexandria database.

Geometry as CIF:
```
data_Cd5GaAg6
_symmetry_space_group_name_H-M 'P 1'
_symmetry_Int_Tables_number 1
_cell_length_a 8.712
_cell_length_b 4.500
_cell_length_c 7.229
_cell_angle_alpha 71.87
_cell_angle_beta 80.54
_cell_angle_gamma 58.13
loop_
_symmetry_equiv_pos_as_xyz
'x,y,z'
loop_
_atom_site_label
_atom_site_fract_x
_atom_site_fract_y
_atom_site_fract_z
Cd1 0.500 0.166 0.668
Cd2 0.500 0.834 0.332
Ga1 0.000 0.000 0.000
Ag1 0.248 0.913 0.677
Ag2 0.752 0.410 0.677
Ag3 0.248 0.590 0.323
Cd3 0.000 0.328 0.344
Ag4 0.767 0.734 0.000
Ag5 0.233 0.266 0.000
Cd4 0.500 0.500 0.000
Ag6 0.752 0.087 0.323
Cd5 0.000 0.672 0.656
```

Energy, eV per atom: -2.09
ΔE to the lowest computed polymorph, meV/atom: 4
M_tot, μB/cell: 0.00

---

(17)
The following is a PBE calculation of AcGePRh6 after structural relaxation, from the Alexandria database.

Geometry as CIF:
```
data_AcGePRh6
_symmetry_space_group_name_H-M 'P 1'
_symmetry_Int_Tables_number 1
_cell_length_a 6.591
_cell_length_b 8.899
_cell_length_c 7.921
_cell_angle_alpha 124.18
_cell_angle_beta 114.59
_cell_angle_gamma 90.00
loop_
_symmetry_equiv_pos_as_xyz
'x,y,z'
loop_
_atom_site_label
_atom_site_fract_x
_atom_site_fract_y
_atom_site_fract_z
Ac1 0.173 0.423 0.345
Rh1 0.559 0.309 0.118
Rh2 0.625 0.889 0.744
Rh3 0.625 0.355 0.744
P1 0.500 0.500 0.000
Ge1 0.000 0.000 0.500
P2 0.500 0.000 0.000
Ac2 0.827 0.577 0.655
Rh4 0.441 0.691 0.882
Rh5 0.375 0.111 0.256
Rh6 0.375 0.645 0.256
Ge2 0.500 0.000 0.500
Rh7 0.120 0.355 0.744
Rh8 0.906 0.156 0.812
Rh9 0.094 0.844 0.188
Rh10 0.880 0.111 0.256
Rh11 0.120 0.889 0.744
Rh12 0.880 0.645 0.256
```

Energy, eV per atom: -6.72
M_tot, μB/cell: 0.00

---

(18)
The following is a PBE calculation of NaPO3 after structural relaxation, from the Alexandria database.

Geometry as CIF:
```
data_NaPO3
_symmetry_space_group_name_H-M 'P 1'
_symmetry_Int_Tables_number 1
_cell_length_a 7.104
_cell_length_b 7.178
_cell_length_c 8.070
_cell_angle_alpha 94.03
_cell_angle_beta 103.54
_cell_angle_gamma 90.22
loop_
_symmetry_equiv_pos_as_xyz
'x,y,z'
loop_
_atom_site_label
_atom_site_fract_x
_atom_site_fract_y
_atom_site_fract_z
O1 0.137 0.410 0.748
Na1 0.947 0.250 0.218
O2 0.238 0.305 0.469
O3 0.559 0.059 0.702
O4 0.508 0.591 0.253
O5 0.954 0.940 0.295
Na2 0.574 0.761 0.810
Na3 0.746 0.025 0.485
O6 0.639 0.229 0.006
O7 0.492 0.409 0.747
O8 0.824 0.313 0.785
O9 0.863 0.590 0.252
Na4 0.254 0.975 0.515
P1 0.281 0.443 0.621
P2 0.377 0.766 0.182
P3 0.623 0.234 0.818
O10 0.277 0.650 0.605
O11 0.723 0.350 0.395
O12 0.361 0.771 0.994
O13 0.176 0.687 0.215
Na5 0.053 0.750 0.782
O14 0.125 0.233 0.008
P4 0.958 0.765 0.181
O15 0.875 0.767 0.992
P5 0.042 0.235 0.819
Na6 0.426 0.239 0.190
O16 0.441 0.941 0.298
O17 0.762 0.695 0.531
O18 0.046 0.060 0.705
P6 0.719 0.557 0.379
```

Energy, eV per atom: -6.54
M_tot, μB/cell: 0.00

---

(19)
The following is a PBE calculation of Tm3Th5 after structural relaxation, from the Alexandria database.

Geometry as CIF:
```
data_Tm3Th5
_symmetry_space_group_name_H-M 'P 1'
_symmetry_Int_Tables_number 1
_cell_length_a 3.548
_cell_length_b 5.841
_cell_length_c 12.316
_cell_angle_alpha 90.00
_cell_angle_beta 90.00
_cell_angle_gamma 90.00
loop_
_symmetry_equiv_pos_as_xyz
'x,y,z'
loop_
_atom_site_label
_atom_site_fract_x
_atom_site_fract_y
_atom_site_fract_z
Th1 0.000 0.000 0.457
Tm1 0.000 0.500 0.793
Th2 0.000 0.500 0.291
Th3 0.500 0.000 0.207
Tm2 0.500 0.000 0.707
Th4 0.000 0.000 0.960
Th5 0.500 0.500 0.042
Tm3 0.500 0.500 0.543
```

Energy, eV per atom: -6.27
ΔE to the lowest computed polymorph, meV/atom: 3
M_tot, μB/cell: 0.00

---

(20)
The following is a PBE calculation of PC after structural relaxation, from the Alexandria database.

Geometry as CIF:
```
data_PC
_symmetry_space_group_name_H-M 'P 1'
_symmetry_Int_Tables_number 1
_cell_length_a 4.026
_cell_length_b 3.035
_cell_length_c 7.079
_cell_angle_alpha 90.00
_cell_angle_beta 99.38
_cell_angle_gamma 90.00
loop_
_symmetry_equiv_pos_as_xyz
'x,y,z'
loop_
_atom_site_label
_atom_site_fract_x
_atom_site_fract_y
_atom_site_fract_z
C1 0.047 0.000 0.402
P1 0.280 0.000 0.829
C2 0.953 0.500 0.098
P2 0.720 0.000 0.171
P3 0.720 0.500 0.671
C3 0.047 0.500 0.902
C4 0.953 0.000 0.598
P4 0.280 0.500 0.329
```

Energy, eV per atom: -6.82
ΔE to the lowest computed polymorph, meV/atom: 181
M_tot, μB/cell: 0.00